Record 1
Below is a geometry-optimized CoCu3B structure, with properties calculated at the PBEsol level.

a = 3.8260 Å, b = 3.8260 Å, c = 3.8260 Å
α = 90.00°, β = 90.00°, γ = 90.00°
Closest atoms and distances in Å follow each position.
Space group Pm-3m (No. 221)
One atom of each set of equivalent atoms:
Co (0.0000, 0.0000, 0.0000) [1 per cell]  12 Cu 2.71
Cu (0.0000, 0.5000, 0.5000) [3 per cell]  2 B 1.91
B (0.5000, 0.5000, 0.5000) [1 per cell]  6 Cu 1.91

Computed properties:
- Total energy: -5.064 eV/atom
- Energy relative to the elements: 47.0 kJ/mol of atoms
- M_tot: 1.75 μB per formula unit
- V: 11.20 Å³/atom

***

Record 2
Below is a geometry-optimized CoCuBTe2 structure, with properties calculated at the PBEsol level.

a = 4.9793 Å, b = 4.9793 Å, c = 4.3884 Å
α = 90.00°, β = 90.00°, γ = 90.00°
Closest atoms and distances in Å follow each position.
Space group P4/mmm (No. 123)
One atom of each set of equivalent atoms:
Co (0.0000, 0.0000, 0.0000) [1 per cell]  2 Cu 2.19
Cu (0.0000, 0.0000, 0.5000) [1 per cell]  2 Co 2.19
B (0.5000, 0.5000, 0.0000) [1 per cell]  8 Te 3.32, 4 Co 3.52
Te (0.0000, 0.5000, 0.5000) [2 per cell]  2 Cu 2.49

Computed properties:
- Total energy: -3.657 eV/atom
- Formation energy (no corrections): 7.9 eV/f.u.
- M_tot: 2.05 μB per formula unit
- V: 21.76 Å³/atom